[1]
A plane-wave DFT calculation with PBE was carried out for a relaxed structure of SmPuAgAu.

E = -0.48597 Ry per atom
Crystal system = cubic
Spin magnetization = 23.3 μB/cell

```
data_SmPuAgAu
_cell_length_a 7.3538
_cell_length_b 7.3538
_cell_length_c 7.3538
_cell_angle_alpha 90.00
_cell_angle_beta 90.00
_cell_angle_gamma 90.00
_space_group_name_H-M_alt 'F -4 3 m'
_space_group_IT_number 216
_space_group_name_Hall 'F -4 2 3'
loop_
_atom_site_label
_atom_site_type_symbol
_atom_site_fract_x
_atom_site_fract_y
_atom_site_fract_z
Sm1 Sm 0.0000 0.0000 0.0000
Pu1 Pu 0.0000 0.0000 0.5000
Ag1 Ag 0.2500 0.2500 0.7500
Au1 Au 0.2500 0.2500 0.2500
```

[2]
A plane-wave DFT calculation with PBE was carried out for a relaxed structure of Rb2HgGeI6.

Crystal system = tetragonal
Spin magnetization = 0.0 μB/cell
ΔE_f (raw) = -16.734 kcal/mol of atoms

```
data_Rb2HgGeI6
_cell_length_a 8.4675
_cell_length_b 8.4675
_cell_length_c 12.0340
_cell_angle_alpha 90.00
_cell_angle_beta 90.00
_cell_angle_gamma 90.00
_space_group_name_H-M_alt 'I 4/m m m'
_space_group_IT_number 139
_space_group_name_Hall '-I 4 2'
loop_
_atom_site_label
_atom_site_type_symbol
_atom_site_fract_x
_atom_site_fract_y
_atom_site_fract_z
Rb1 Rb 0.0000 0.5000 0.2500
Hg1 Hg 0.0000 0.0000 0.0000
Ge1 Ge 0.0000 0.0000 0.5000
I1 I 0.0000 0.0000 0.2544
I2 I 0.2464 0.2464 0.5000
```

[3]
A plane-wave DFT calculation with PBE was carried out for a relaxed structure of Ba2AcPuN4.

Crystal system = monoclinic
Spin magnetization = 2.9 μB/cell
ΔE_f (raw) = -17.977 kcal/mol of atoms

```
data_Ba2AcPuN4
_cell_length_a 6.5465
_cell_length_b 3.7697
_cell_length_c 6.7824
_cell_angle_alpha 90.00
_cell_angle_beta 109.38
_cell_angle_gamma 90.00
_space_group_name_H-M_alt 'P 1 2/m 1'
_space_group_IT_number 10
loop_
_space_group_symop_operation_xyz
'x,y,z'
'-x,-y,-z'
'-x,y,-z'
'x,-y,z'
loop_
_atom_site_label
_atom_site_type_symbol
_atom_site_fract_x
_atom_site_fract_y
_atom_site_fract_z
Ba1 Ba 0.0000 0.0000 0.0000
Ba2 Ba 0.5000 0.5000 0.0000
Ac1 Ac 0.0000 0.5000 0.5000
Pu1 Pu 0.5000 0.0000 0.5000
N1 N 0.2913 0.0000 0.6770
N2 N 0.2907 0.5000 0.3081
```

[4]
A plane-wave DFT calculation with PBE was carried out for a relaxed structure of InTc2Se.

Crystal system = orthorhombic
Spin magnetization = 0.0 μB/cell
ΔE_f (raw) = 9.915 kcal/mol of atoms

```
data_InTc2Se
_cell_length_a 3.0332
_cell_length_b 5.1279
_cell_length_c 8.8237
_cell_angle_alpha 90.00
_cell_angle_beta 90.00
_cell_angle_gamma 90.00
_space_group_name_H-M_alt 'I m m m'
_space_group_IT_number 71
_space_group_name_Hall '-I 2 2'
loop_
_atom_site_label
_atom_site_type_symbol
_atom_site_fract_x
_atom_site_fract_y
_atom_site_fract_z
In1 In 0.0000 0.0000 0.0000
Tc1 Tc 0.0000 0.5000 0.2199
Se1 Se 0.0000 0.0000 0.5000
```

[5]
A plane-wave DFT calculation with PBE was carried out for a relaxed structure of Sc2TlCl.

Crystal system = monoclinic
Spin magnetization = 0.3 μB/cell
ΔE_f (raw) = -15.541 kcal/mol of atoms

```
data_Sc2TlCl
_cell_length_a 3.3762
_cell_length_b 4.9796
_cell_length_c 5.7735
_cell_angle_alpha 90.00
_cell_angle_beta 106.81
_cell_angle_gamma 90.00
_space_group_name_H-M_alt 'P 1 m 1'
_space_group_IT_number 6
loop_
_space_group_symop_operation_xyz
'x,y,z'
'x,-y,z'
loop_
_atom_site_label
_atom_site_type_symbol
_atom_site_fract_x
_atom_site_fract_y
_atom_site_fract_z
Sc1 Sc 0.0000 0.0000 0.0000
Sc2 Sc 0.3169 0.5000 0.6342
Tl1 Tl 0.5879 0.5000 0.1710
Cl1 Cl 0.3165 0.0000 0.6311
```

[6]
A plane-wave DFT calculation with PBE was carried out for a relaxed structure of Tb8Dy6Sc.

E = -0.33706 Ry per atom
Crystal system = trigonal
Spin magnetization = 0.0 μB/cell

```
data_Tb8Dy6Sc
_cell_length_a 9.8048
_cell_length_b 9.8048
_cell_length_c 5.7484
_cell_angle_alpha 90.00
_cell_angle_beta 90.00
_cell_angle_gamma 120.00
_space_group_name_H-M_alt 'P -3'
_space_group_IT_number 147
loop_
_space_group_symop_operation_xyz
'x,y,z'
'-x,-y,-z'
'-y,x-y,z'
'y,-x+y,-z'
'-x+y,-x,z'
'x-y,x,-z'
loop_
_atom_site_label
_atom_site_type_symbol
_atom_site_fract_x
_atom_site_fract_y
_atom_site_fract_z
Tb1 Tb 0.0516 0.7805 0.2660
Tb2 Tb 0.3333 0.6667 0.2653
Dy1 Dy 0.0917 0.6212 0.7569
Sc1 Sc 0.0000 0.0000 0.0000
```

[7]
A plane-wave DFT calculation with PBE was carried out for a relaxed structure of Sr2Cu2Sn.

E = -0.24272 Ry per atom
Crystal system = tetragonal
Spin magnetization = 0.0 μB/cell

```
data_Sr2Cu2Sn
_cell_length_a 6.0626
_cell_length_b 6.0626
_cell_length_c 7.5999
_cell_angle_alpha 90.00
_cell_angle_beta 90.00
_cell_angle_gamma 90.00
_space_group_name_H-M_alt 'I 4/m m m'
_space_group_IT_number 139
_space_group_name_Hall '-I 4 2'
loop_
_atom_site_label
_atom_site_type_symbol
_atom_site_fract_x
_atom_site_fract_y
_atom_site_fract_z
Sr1 Sr 0.0000 0.5000 0.2500
Cu1 Cu 0.0000 0.0000 0.1529
Sn1 Sn 0.0000 0.0000 0.5000
```

[8]
A plane-wave DFT calculation with PBE was carried out for a relaxed structure of BaPa2AgO8.

Crystal system = trigonal
Spin magnetization = 0.0 μB/cell
ΔE_f (raw) = -50.376 kcal/mol of atoms

```
data_BaPa2AgO8
_cell_length_a 5.5521
_cell_length_b 5.5521
_cell_length_c 6.9784
_cell_angle_alpha 90.00
_cell_angle_beta 90.00
_cell_angle_gamma 120.00
_space_group_name_H-M_alt 'P -3 m 1'
_space_group_IT_number 164
_space_group_name_Hall '-P 3 2"'
loop_
_atom_site_label
_atom_site_type_symbol
_atom_site_fract_x
_atom_site_fract_y
_atom_site_fract_z
Ba1 Ba 0.0000 0.0000 0.0000
Pa1 Pa 0.3333 0.6667 0.3900
Ag1 Ag 0.0000 0.0000 0.5000
O1 O 0.1828 0.3655 0.6515
O2 O 0.3333 0.6667 0.1178
```

[9]
A plane-wave DFT calculation with PBE was carried out for a relaxed structure of TcBiTeN2.

Crystal system = tetragonal
Spin magnetization = 5.8 μB/cell
ΔE_f (raw) = 45.695 kcal/mol of atoms

```
data_TcBiTeN2
_cell_length_a 4.2571
_cell_length_b 4.2571
_cell_length_c 6.6321
_cell_angle_alpha 90.00
_cell_angle_beta 90.00
_cell_angle_gamma 90.00
_space_group_name_H-M_alt 'P 4/m m m'
_space_group_IT_number 123
_space_group_name_Hall '-P 4 2'
loop_
_atom_site_label
_atom_site_type_symbol
_atom_site_fract_x
_atom_site_fract_y
_atom_site_fract_z
Tc1 Tc 0.0000 0.0000 0.0000
Bi1 Bi 0.5000 0.5000 0.5000
Te1 Te 0.5000 0.5000 0.0000
N1 N 0.0000 0.5000 0.5000
```

[10]
A plane-wave DFT calculation with PBE was carried out for a relaxed structure of RbBAsCl2.

Crystal system = tetragonal
Spin magnetization = 1.4 μB/cell
ΔE_f (raw) = 15.127 kcal/mol of atoms

```
data_RbBAsCl2
_cell_length_a 5.0314
_cell_length_b 5.0314
_cell_length_c 7.0025
_cell_angle_alpha 90.00
_cell_angle_beta 90.00
_cell_angle_gamma 90.00
_space_group_name_H-M_alt 'P 4/m m m'
_space_group_IT_number 123
_space_group_name_Hall '-P 4 2'
loop_
_atom_site_label
_atom_site_type_symbol
_atom_site_fract_x
_atom_site_fract_y
_atom_site_fract_z
Rb1 Rb 0.0000 0.0000 0.0000
B1 B 0.5000 0.5000 0.0000
As1 As 0.0000 0.0000 0.5000
Cl1 Cl 0.0000 0.5000 0.5000
```

[11]
A plane-wave DFT calculation with PBE was carried out for a relaxed structure of TlTeCl2.

Crystal system = cubic
Spin magnetization = 0.0 μB/cell
ΔE_f (raw) = -1.995 kcal/mol of atoms

```
data_TlTeCl2
_cell_length_a 7.4050
_cell_length_b 7.4050
_cell_length_c 7.4050
_cell_angle_alpha 90.00
_cell_angle_beta 90.00
_cell_angle_gamma 90.00
_space_group_name_H-M_alt 'F -4 3 m'
_space_group_IT_number 216
_space_group_name_Hall 'F -4 2 3'
loop_
_atom_site_label
_atom_site_type_symbol
_atom_site_fract_x
_atom_site_fract_y
_atom_site_fract_z
Tl1 Tl 0.0000 0.0000 0.0000
Te1 Te 0.2500 0.2500 0.2500
Cl1 Cl 0.0000 0.0000 0.5000
Cl2 Cl 0.2500 0.2500 0.7500
```

[12]
A plane-wave DFT calculation with PBE was carried out for a relaxed structure of CsZn2InBr6.

Crystal system = monoclinic
Spin magnetization = 0.0 μB/cell
ΔE_f (raw) = -23.657 kcal/mol of atoms

```
data_CsZn2InBr6
_cell_length_a 10.5857
_cell_length_b 16.5789
_cell_length_c 10.5222
_cell_angle_alpha 90.00
_cell_angle_beta 111.33
_cell_angle_gamma 90.00
_space_group_name_H-M_alt 'C 1 2/c 1'
_space_group_IT_number 15
loop_
_space_group_symop_operation_xyz
'x,y,z'
'-x,-y,-z'
'-x,y,-z+1/2'
'x,-y,z+1/2'
'x+1/2,y+1/2,z'
'-x+1/2,-y+1/2,-z'
'-x+1/2,y+1/2,-z+1/2'
'x+1/2,-y+1/2,z+1/2'
loop_
_atom_site_label
_atom_site_type_symbol
_atom_site_fract_x
_atom_site_fract_y
_atom_site_fract_z
Cs1 Cs 0.0000 0.1756 0.2500
Zn1 Zn 0.1726 0.4145 0.3071
In1 In 0.0000 0.3340 0.7500
Br1 Br 0.0032 0.3911 0.4243
Br2 Br 0.1665 0.1927 0.6348
Br3 Br 0.2446 0.0498 0.1507
```